Computed, not measured: CrPd3F after structural relaxation at the PBE with a Hubbard U level of DFT.

Calculated values
For the total energy, the calculation gives -4.729 eV per atom. As for the space group: Pm-3m (221). The density comes out at 7.74 g/cm3. The total magnetization comes out at 4.23 μB per cell.

Unit cell a=4.3741 b=4.3741 c=4.3741 alpha=90.00 beta=90.00 gamma=90.00
Element x y z (fractional)
1 Cr 0.5000 0.5000 0.5000
2 Pd 0.5000 0.0000 0.0000
3 Pd 0.0000 0.0000 0.5000
4 Pd 0.0000 0.5000 0.0000
5 F 0.0000 0.0000 0.0000